[1]
# V6Mo12Os

An optimized crystal structure of V6Mo12Os (PBE, Alexandria).

The formation energy comes out at 0.26 eV per atom. As for the density of states at the Fermi level: 73.353 states/eV per cell. The value obtained for the total energy is -10.052 eV/atom. The calculation puts the total magnetization at 0.000 μB per cell.

The structure belongs to space group R-3 (No. 148, hexagonal axes); the cell edges are 11.9763, 11.9763 and 7.0622 Å and the angles 90.00°, 90.00° and 120.00°. The inequivalent atoms are V at (0.0325, 0.7686, 0.3333), Mo at (0.0148, 0.8753, 0.6730), Mo at (0.0638, 0.4742, 0.6662) and Os at (0.0000, 0.0000, 0.0000).

***

[2]
# V6MoOs

An optimized crystal structure of V6MoOs (PBE, Alexandria).

The formation energy comes out at -0.22 eV per atom. As for the density of states at the Fermi level: 21.436 states/eV per cell. The value obtained for the total energy is -9.814 eV/atom. The calculation puts the total magnetization at 0.000 μB per cell.

The structure belongs to space group Cmmm (No. 65); the cell edges are 6.043, 8.564 and 4.249 Å and the angles 90.00°, 90.00° and 90.00°. The inequivalent atoms are V at (0.000, 0.249, 0.000), V at (0.250, 0.000, 0.000), V at (0.250, 0.250, 0.500), Mo at (0.000, 0.500, 0.500) and Os at (0.000, 0.000, 0.500).

***

[3]
# V7Mo2Os3

An optimized crystal structure of V7Mo2Os3 (PBE, Alexandria).

The formation energy comes out at 0.12 eV per atom. As for the density of states at the Fermi level: 20.591 states/eV per cell. The value obtained for the total energy is -9.808 eV/atom. The calculation puts the total magnetization at 0.001 μB per cell.

The structure belongs to space group Cmmm (No. 65); the cell edges are 4.234, 20.745 and 4.208 Å and the angles 90.00°, 90.00° and 90.00°. The inequivalent atoms are V at (0.000, 0.000, 0.000), V at (0.000, 0.074, 0.500), V at (0.000, 0.288, 0.000), V at (0.000, 0.429, 0.000), Mo at (0.000, 0.147, 0.000), Os at (0.000, 0.354, 0.500) and Os at (0.000, 0.500, 0.500).

***

[4]
# V5Mo4Os

An optimized crystal structure of V5Mo4Os (PBE, Alexandria).

The formation energy comes out at -0.19 eV per atom. As for the density of states at the Fermi level: 4.806 states/eV per cell. The value obtained for the total energy is -10.206 eV/atom. The calculation puts the total magnetization at 0.000 μB per cell.

The structure belongs to space group P4/mmm (No. 123); the cell edges are 3.059, 3.059 and 15.354 Å and the angles 90.00°, 90.00° and 90.00°. The inequivalent atoms are V at (0.000, 0.000, 0.000), V at (0.000, 0.000, 0.202), V at (0.000, 0.000, 0.400), Mo at (0.500, 0.500, 0.100), Mo at (0.500, 0.500, 0.302) and Os at (0.500, 0.500, 0.500).